Entry 1:
Below is a relaxed structure of KAs2BrCl, with properties calculated at the PBE level.

a b c (Å): 4.880 4.880 7.474
angles (deg): 90.00 90.00 90.00
Positions (direct):
K (0.000, 0.000, 0.000)
As (0.000, 0.500, 0.500)
As (0.500, 0.000, 0.500)
Br (0.500, 0.500, 0.000)
Cl (0.500, 0.500, 0.500)

Results
- distance to the lowest polymorph of the same formula (kJ/mol of atoms) = 0.00


Entry 2:
Below is a relaxed structure of KAsBr2Cl, with properties calculated at the PBE level.

a b c (Å): 6.504 6.504 4.572
angles (deg): 90.00 90.00 90.00
Positions (direct):
K (0.000, 0.000, 0.000)
As (0.500, 0.500, 0.000)
Br (0.000, 0.500, 0.500)
Br (0.500, 0.000, 0.500)
Cl (0.500, 0.500, 0.500)

Results
- distance to the lowest polymorph of the same formula (kJ/mol of atoms) = 65.74


Entry 3:
Below is a relaxed structure of KAsBr2Cl, with properties calculated at the PBE level.

a b c (Å): 5.958 5.958 9.290
angles (deg): 90.00 90.00 90.00
Positions (direct):
K (0.000, 0.000, 0.000)
As (0.000, 0.000, 0.500)
Br (0.000, 0.500, 0.000)
Br (0.500, 0.000, 0.000)
Cl (0.500, 0.500, 0.500)

Results
- distance to the lowest polymorph of the same formula (kJ/mol of atoms) = 117.59


Entry 4:
Below is a relaxed structure of KAsBr2Cl, with properties calculated at the PBE level.

a b c (Å): 5.466 5.466 5.210
angles (deg): 90.00 90.00 90.00
Positions (direct):
K (0.000, 0.000, 0.000)
As (0.500, 0.500, 0.500)
Br (0.000, 0.500, 0.500)
Br (0.500, 0.000, 0.500)
Cl (0.500, 0.500, 0.000)

Results
- distance to the lowest polymorph of the same formula (kJ/mol of atoms) = 0.00


Entry 5:
Below is a relaxed structure of La4As2BrCl, with properties calculated at the PBE level.

a b c (Å): 7.452 7.449 6.102
angles (deg): 65.85 65.81 48.35
Positions (direct):
La (0.000, 0.000, 0.500)
La (0.245, 0.245, 0.755)
La (0.500, 0.500, 0.000)
La (0.755, 0.755, 0.245)
As (0.250, 0.250, 0.250)
As (0.750, 0.750, 0.750)
Br (0.500, 0.500, 0.500)
Cl (0.000, 0.000, 0.000)

Results
- total DFT energy (no corrections) (eV/atom) = -5.611


Entry 6:
Below is a relaxed structure of LaAsBr2Cl, with properties calculated at the PBE level.

a b c (Å): 5.697 5.697 6.398
angles (deg): 90.00 90.00 90.00
Positions (direct):
La (0.000, 0.000, 0.000)
As (0.000, 0.000, 0.500)
Br (0.000, 0.500, 0.000)
Br (0.500, 0.000, 0.000)
Cl (0.500, 0.500, 0.500)

Results
- distance to the lowest polymorph of the same formula (kJ/mol of atoms) = 0.00


Entry 7:
Below is a relaxed structure of LaAs2BrCl, with properties calculated at the PBE level.

a b c (Å): 6.000 6.000 5.707
angles (deg): 90.00 90.00 90.00
Positions (direct):
La (0.000, 0.000, 0.000)
As (0.000, 0.500, 0.000)
As (0.500, 0.000, 0.000)
Br (0.000, 0.000, 0.500)
Cl (0.500, 0.500, 0.500)

Results
- distance to the lowest polymorph of the same formula (kJ/mol of atoms) = 23.39


Entry 8:
Below is a relaxed structure of LaAsBr2Cl, with properties calculated at the PBE level.

a b c (Å): 5.435 5.435 4.907
angles (deg): 90.00 90.00 90.00
Positions (direct):
La (0.000, 0.000, 0.000)
As (0.500, 0.500, 0.000)
Br (0.000, 0.500, 0.500)
Br (0.500, 0.000, 0.500)
Cl (0.500, 0.500, 0.500)

Results
- distance to the lowest polymorph of the same formula (kJ/mol of atoms) = 44.10


Entry 9:
Below is a relaxed structure of La6As3BrCl2, with properties calculated at the PBE level.

a b c (Å): 9.642 9.642 8.624
angles (deg): 102.19 102.19 26.05
Positions (direct):
La (0.003, 0.003, 0.235)
La (0.327, 0.327, 0.426)
La (0.338, 0.338, 0.906)
La (0.662, 0.662, 0.094)
La (0.673, 0.673, 0.574)
La (0.997, 0.997, 0.765)
As (0.165, 0.165, 0.333)
As (0.500, 0.500, 0.000)
As (0.835, 0.835, 0.667)
Br (0.500, 0.500, 0.500)
Cl (0.168, 0.168, 0.835)
Cl (0.832, 0.832, 0.165)

Results
- total DFT energy (no corrections) (eV/atom) = -5.689


Entry 10:
Below is a relaxed structure of LaAs2BrCl, with properties calculated at the PBE level.

a b c (Å): 4.777 4.777 5.924
angles (deg): 90.00 90.00 90.00
Positions (direct):
La (0.000, 0.000, 0.000)
As (0.000, 0.500, 0.500)
As (0.500, 0.000, 0.500)
Br (0.500, 0.500, 0.000)
Cl (0.500, 0.500, 0.500)

Results
- distance to the lowest polymorph of the same formula (kJ/mol of atoms) = 0.00


Entry 11:
Below is a relaxed structure of LiAs2BrCl, with properties calculated at the PBE level.

a b c (Å): 4.735 4.735 7.400
angles (deg): 90.00 90.00 90.00
Positions (direct):
Li (0.000, 0.000, 0.000)
As (0.000, 0.500, 0.500)
As (0.500, 0.000, 0.500)
Br (0.500, 0.500, 0.000)
Cl (0.500, 0.500, 0.500)

Results
- distance to the lowest polymorph of the same formula (kJ/mol of atoms) = 4.70


Entry 12:
Below is a relaxed structure of LiAsBr2Cl, with properties calculated at the PBE level.

a b c (Å): 6.373 6.373 4.546
angles (deg): 90.00 90.00 90.00
Positions (direct):
Li (0.000, 0.000, 0.000)
As (0.500, 0.500, 0.000)
Br (0.000, 0.500, 0.500)
Br (0.500, 0.000, 0.500)
Cl (0.500, 0.500, 0.500)

Results
- distance to the lowest polymorph of the same formula (kJ/mol of atoms) = 6.85


Entry 13:
Below is a relaxed structure of LiAsBr2Cl, with properties calculated at the PBE level.

a b c (Å): 4.677 4.677 5.500
angles (deg): 90.00 90.00 90.00
Positions (direct):
Li (0.000, 0.000, 0.000)
As (0.000, 0.000, 0.500)
Br (0.000, 0.500, 0.000)
Br (0.500, 0.000, 0.000)
Cl (0.500, 0.500, 0.500)

Results
- distance to the lowest polymorph of the same formula (kJ/mol of atoms) = 0.00


Entry 14:
Below is a relaxed structure of LiAs2BrCl, with properties calculated at the PBE level.

a b c (Å): 4.804 4.804 4.735
angles (deg): 90.00 90.00 90.00
Positions (direct):
Li (0.000, 0.000, 0.000)
As (0.000, 0.500, 0.000)
As (0.500, 0.000, 0.000)
Br (0.000, 0.000, 0.500)
Cl (0.500, 0.500, 0.500)

Results
- distance to the lowest polymorph of the same formula (kJ/mol of atoms) = 0.00


Entry 15:
Below is a relaxed structure of MgAs2BrCl, with properties calculated at the PBE level.

a b c (Å): 4.729 4.729 6.445
angles (deg): 90.00 90.00 90.00
Positions (direct):
Mg (0.000, 0.000, 0.000)
As (0.000, 0.500, 0.500)
As (0.500, 0.000, 0.500)
Br (0.500, 0.500, 0.000)
Cl (0.500, 0.500, 0.500)

Results
- distance to the lowest polymorph of the same formula (kJ/mol of atoms) = 21.13


Entry 16:
Below is a relaxed structure of MgAs2BrCl, with properties calculated at the PBE level.

a b c (Å): 5.160 5.160 5.027
angles (deg): 90.00 90.00 90.00
Positions (direct):
Mg (0.000, 0.000, 0.000)
As (0.000, 0.500, 0.000)
As (0.500, 0.000, 0.000)
Br (0.000, 0.000, 0.500)
Cl (0.500, 0.500, 0.500)

Results
- distance to the lowest polymorph of the same formula (kJ/mol of atoms) = 0.00


Entry 17:
Below is a relaxed structure of MnAsBr2Cl, with properties calculated at the PBE level.

a b c (Å): 4.848 4.848 4.735
angles (deg): 90.00 90.00 90.00
Positions (direct):
Mn (0.000, 0.000, 0.000)
As (0.000, 0.000, 0.500)
Br (0.000, 0.500, 0.000)
Br (0.500, 0.000, 0.000)
Cl (0.500, 0.500, 0.500)

Results
- distance to the lowest polymorph of the same formula (kJ/mol of atoms) = 0.00


Entry 18:
Below is a relaxed structure of MnAsBr2Cl, with properties calculated at the PBE level.

a b c (Å): 5.118 5.118 5.350
angles (deg): 90.00 90.00 90.00
Positions (direct):
Mn (0.000, 0.000, 0.000)
As (0.500, 0.500, 0.000)
Br (0.000, 0.500, 0.500)
Br (0.500, 0.000, 0.500)
Cl (0.500, 0.500, 0.500)

Results
- distance to the lowest polymorph of the same formula (kJ/mol of atoms) = 72.80


Entry 19:
Below is a relaxed structure of MoAsBr2Cl, with properties calculated at the PBE level.

a b c (Å): 5.083 5.083 5.311
angles (deg): 90.00 90.00 90.00
Positions (direct):
Mo (0.000, 0.000, 0.000)
As (0.500, 0.500, 0.000)
Br (0.000, 0.500, 0.500)
Br (0.500, 0.000, 0.500)
Cl (0.500, 0.500, 0.500)

Results
- distance to the lowest polymorph of the same formula (kJ/mol of atoms) = 109.60


Entry 20:
Below is a relaxed structure of MoAs2BrCl, with properties calculated at the PBE level.

a b c (Å): 4.891 4.891 5.089
angles (deg): 90.00 90.00 90.00
Positions (direct):
Mo (0.000, 0.000, 0.000)
As (0.000, 0.500, 0.000)
As (0.500, 0.000, 0.000)
Br (0.000, 0.000, 0.500)
Cl (0.500, 0.500, 0.500)

Results
- distance to the lowest polymorph of the same formula (kJ/mol of atoms) = 0.00


Entry 21:
Below is a relaxed structure of MoAsBr2Cl, with properties calculated at the PBE level.

a b c (Å): 5.013 5.013 4.984
angles (deg): 90.00 90.00 90.00
Positions (direct):
Mo (0.000, 0.000, 0.000)
As (0.000, 0.000, 0.500)
Br (0.000, 0.500, 0.000)
Br (0.500, 0.000, 0.000)
Cl (0.500, 0.500, 0.500)

Results
- distance to the lowest polymorph of the same formula (kJ/mol of atoms) = 0.00


Entry 22:
Below is a relaxed structure of MoAs2BrCl, with properties calculated at the PBE level.

a b c (Å): 4.728 4.728 6.029
angles (deg): 90.00 90.00 90.00
Positions (direct):
Mo (0.000, 0.000, 0.000)
As (0.000, 0.500, 0.500)
As (0.500, 0.000, 0.500)
Br (0.500, 0.500, 0.000)
Cl (0.500, 0.500, 0.500)

Results
- distance to the lowest polymorph of the same formula (kJ/mol of atoms) = 107.98


Entry 23:
Below is a relaxed structure of AsBr2NCl, with properties calculated at the PBE level.

a b c (Å): 4.618 4.618 4.656
angles (deg): 90.00 90.00 90.00
Positions (direct):
As (0.000, 0.000, 0.000)
Br (0.000, 0.500, 0.500)
Br (0.500, 0.000, 0.500)
N (0.000, 0.000, 0.500)
Cl (0.500, 0.500, 0.000)

Results
- distance to the lowest polymorph of the same formula (kJ/mol of atoms) = 0.00


Entry 24:
Below is a relaxed structure of AsBr2NCl, with properties calculated at the PBE level.

a b c (Å): 5.439 5.439 5.192
angles (deg): 90.00 90.00 90.00
Positions (direct):
As (0.000, 0.000, 0.000)
Br (0.000, 0.500, 0.500)
Br (0.500, 0.000, 0.500)
N (0.500, 0.500, 0.000)
Cl (0.000, 0.000, 0.500)

Results
- distance to the lowest polymorph of the same formula (kJ/mol of atoms) = 55.35


Entry 25:
Below is a relaxed structure of NbAsBr2Cl, with properties calculated at the PBE level.

a b c (Å): 5.001 5.001 5.280
angles (deg): 90.00 90.00 90.00
Positions (direct):
Nb (0.000, 0.000, 0.000)
As (0.500, 0.500, 0.000)
Br (0.000, 0.500, 0.500)
Br (0.500, 0.000, 0.500)
Cl (0.500, 0.500, 0.500)

Results
- distance to the lowest polymorph of the same formula (kJ/mol of atoms) = 122.80


Entry 26:
Below is a relaxed structure of NbAs2BrCl, with properties calculated at the PBE level.

a b c (Å): 4.649 4.649 5.650
angles (deg): 90.00 90.00 90.00
Positions (direct):
Nb (0.000, 0.000, 0.000)
As (0.000, 0.500, 0.500)
As (0.500, 0.000, 0.500)
Br (0.500, 0.500, 0.000)
Cl (0.500, 0.500, 0.500)

Results
- distance to the lowest polymorph of the same formula (kJ/mol of atoms) = 111.76


Entry 27:
Below is a relaxed structure of NbAsBr2Cl, with properties calculated at the PBE level.

a b c (Å): 5.372 5.372 4.970
angles (deg): 90.00 90.00 90.00
Positions (direct):
Nb (0.000, 0.000, 0.000)
As (0.500, 0.500, 0.500)
Br (0.000, 0.500, 0.500)
Br (0.500, 0.000, 0.500)
Cl (0.500, 0.500, 0.000)

Results
- distance to the lowest polymorph of the same formula (kJ/mol of atoms) = 73.36


Entry 28:
Below is a relaxed structure of NbAsBr2Cl, with properties calculated at the PBE level.

a b c (Å): 5.066 5.066 5.189
angles (deg): 90.00 90.00 90.00
Positions (direct):
Nb (0.000, 0.000, 0.000)
As (0.000, 0.000, 0.500)
Br (0.000, 0.500, 0.000)
Br (0.500, 0.000, 0.000)
Cl (0.500, 0.500, 0.500)

Results
- distance to the lowest polymorph of the same formula (kJ/mol of atoms) = 0.00